No. 1
Here is a relaxed structure of Er4Hg3Pt from the Alexandria database. Energies are from PBE.

**Theoretical density**: 12.7 g/cm³
**Energy of formation**: -0.684 eV per atom
**Total DFT energy (no corrections)**: -3.83 eV per atom

Structure (CIF):
```
data_Er4Hg3Pt
_chemical_formula_sum 'Er4 Hg3 Pt1'
_space_group_name_H-M_alt 'P 4/m m m'
_space_group_IT_number 123
_space_group_name_Hall '-P 4 2'
_cell_length_a 3.6091
_cell_length_b 3.6091
_cell_length_c 14.7248
_cell_angle_alpha 90.00
_cell_angle_beta 90.00
_cell_angle_gamma 90.00
loop_
_atom_site_label
_atom_site_type_symbol
_atom_site_fract_x
_atom_site_fract_y
_atom_site_fract_z
Er1 Er 0.0000 0.0000 0.1101
Er2 Er 0.0000 0.0000 0.3703
Hg1 Hg 0.5000 0.5000 0.2456
Hg2 Hg 0.5000 0.5000 0.5000
Pt1 Pt 0.5000 0.5000 0.0000
```

***

No. 2
Here is a relaxed structure of Er4HgPt2 from the Alexandria database. Energies are from PBE.

**Theoretical density**: 12.2 g/cm³
**Distance to the lowest polymorph of the same formula**: 0 meV per atom
**Energy of formation**: -0.879 eV per atom
**Total DFT energy (no corrections)**: -5.26 eV per atom

Structure (CIF):
```
data_Er4HgPt2
_chemical_formula_sum 'Er12 Hg3 Pt6'
_space_group_name_H-M_alt 'R -3 m'
_space_group_IT_number 166
_space_group_name_Hall '-R 3 2"'
_cell_length_a 4.8860
_cell_length_b 4.8860
_cell_length_c 24.8632
_cell_angle_alpha 90.00
_cell_angle_beta 90.00
_cell_angle_gamma 120.00
loop_
_atom_site_label
_atom_site_type_symbol
_atom_site_fract_x
_atom_site_fract_y
_atom_site_fract_z
Er1 Er 0.0000 0.0000 0.1183
Er2 Er 0.0000 0.0000 0.3715
Hg1 Hg 0.0000 0.0000 0.5000
Pt1 Pt 0.0000 0.0000 0.2559
```

***

No. 3
Here is a relaxed structure of Er4HgPt from the Alexandria database. Energies are from PBE.

**Theoretical density**: 10.1 g/cm³
**Distance to the lowest polymorph of the same formula**: 203 meV per atom
**Energy of formation**: -0.478 eV per atom
**Total DFT energy (no corrections)**: -4.58 eV per atom

Structure (CIF):
```
data_Er4HgPt
_chemical_formula_sum 'Er8 Hg2 Pt2'
_space_group_name_H-M_alt 'P 1 21/c 1'
_space_group_IT_number 14
_space_group_name_Hall '-P 2ybc'
_cell_length_a 7.1838
_cell_length_b 7.0296
_cell_length_c 6.9641
_cell_angle_alpha 90.00
_cell_angle_beta 92.75
_cell_angle_gamma 90.00
loop_
_atom_site_label
_atom_site_type_symbol
_atom_site_fract_x
_atom_site_fract_y
_atom_site_fract_z
Er1 Er 0.1454 0.1587 0.1729
Er2 Er 0.3283 0.6473 0.1304
Hg1 Hg 0.5000 0.0000 0.0000
Pt1 Pt 0.0000 0.0000 0.5000
```

***

No. 4
Here is a relaxed structure of ErHgPt2 from the Alexandria database. Energies are from PBE.

**Theoretical density**: 16.2 g/cm³
**Distance to the lowest polymorph of the same formula**: 28 meV per atom
**Energy of formation**: -0.747 eV per atom
**Total DFT energy (no corrections)**: -4.98 eV per atom

Structure (CIF):
```
data_ErHgPt2
_chemical_formula_sum 'Er4 Hg4 Pt8'
_space_group_name_H-M_alt 'F m -3 m'
_space_group_IT_number 225
_space_group_name_Hall '-F 4 2 3'
_cell_length_a 6.7701
_cell_length_b 6.7701
_cell_length_c 6.7701
_cell_angle_alpha 90.00
_cell_angle_beta 90.00
_cell_angle_gamma 90.00
loop_
_atom_site_label
_atom_site_type_symbol
_atom_site_fract_x
_atom_site_fract_y
_atom_site_fract_z
Er1 Er 0.0000 0.0000 0.0000
Hg1 Hg 0.0000 0.0000 0.5000
Pt1 Pt 0.2500 0.2500 0.2500
```

***

No. 5
Here is a relaxed structure of Er5Hg2Pt from the Alexandria database. Energies are from PBE.

**Theoretical density**: 10.9 g/cm³
**Distance to the lowest polymorph of the same formula**: 248 meV per atom
**Energy of formation**: -0.353 eV per atom
**Total DFT energy (no corrections)**: -4.04 eV per atom

Structure (CIF):
```
data_Er5Hg2Pt
_chemical_formula_sum 'Er20 Hg8 Pt4'
_space_group_name_H-M_alt 'C m c m'
_space_group_IT_number 63
_space_group_name_Hall '-C 2c 2'
_cell_length_a 5.6364
_cell_length_b 12.3875
_cell_length_c 12.5126
_cell_angle_alpha 90.00
_cell_angle_beta 90.00
_cell_angle_gamma 90.00
loop_
_atom_site_label
_atom_site_type_symbol
_atom_site_fract_x
_atom_site_fract_y
_atom_site_fract_z
Er1 Er 0.0000 0.0691 0.1059
Er2 Er 0.0000 0.3796 0.0666
Er3 Er 0.0000 0.3870 0.7500
Hg1 Hg 0.0000 0.1804 0.6239
Pt1 Pt 0.0000 0.2355 0.2500
```